Entry 1:
Entry from the Alexandria database: an optimized crystal structure of ThGaCo2H (PBE).

Unit cell a=5.712 b=5.712 c=6.514 alpha=90.00 beta=90.00 gamma=138.86
Atoms (fractional coordinates):
Th 0.090 0.910 0.750
Th 0.910 0.090 0.250
Ga 0.195 0.805 0.250
Ga 0.805 0.195 0.750
Co 0.343 0.657 0.547
Co 0.343 0.657 0.953
Co 0.657 0.343 0.047
Co 0.657 0.343 0.453
H 0.500 0.500 0.000
H 0.500 0.500 0.500

Density in kg/m³: 9990
E_tot in eV per atom: -5.96
Magnetization in μB per formula unit: 0.0
SG: Cmcm, No. 63
Fermi-level density of states in states/eV/cell: 8.81
Crystal system: orthorhombic


Entry 2:
Entry from the Alexandria database: an optimized crystal structure of TmGaCo2H (PBE).

Unit cell a=5.540 b=5.540 c=7.228 alpha=90.00 beta=90.00 gamma=144.49
Atoms (fractional coordinates):
Tm 0.039 0.961 0.750
Tm 0.961 0.039 0.250
Ga 0.235 0.765 0.250
Ga 0.765 0.235 0.750
Co 0.346 0.654 0.546
Co 0.346 0.654 0.954
Co 0.654 0.346 0.046
Co 0.654 0.346 0.454
H 0.500 0.500 0.000
H 0.500 0.500 0.500

Density in kg/m³: 9214
E_tot in eV per atom: -5.35
Magnetization in μB per formula unit: 1.5
SG: Cmcm, No. 63
Fermi-level density of states in states/eV/cell: 10.21
Crystal system: orthorhombic


Entry 3:
Entry from the Alexandria database: an optimized crystal structure of UGaCo4H6 (PBE).

Unit cell a=4.213 b=4.213 c=6.474 alpha=90.00 beta=90.00 gamma=120.00
Atoms (fractional coordinates):
U 0.000 0.000 0.000
Ga 0.000 0.000 0.500
Co 0.333 0.667 0.316
Co 0.333 0.667 0.684
Co 0.667 0.333 0.316
Co 0.667 0.333 0.684
H 0.000 0.500 0.147
H 0.000 0.500 0.853
H 0.500 0.000 0.147
H 0.500 0.000 0.853
H 0.500 0.500 0.147
H 0.500 0.500 0.853

Density in kg/m³: 9170
E_tot in eV per atom: -5.35
Magnetization in μB per formula unit: 4.2
SG: P6/mmm, No. 191
Fermi-level density of states in states/eV/cell: 13.90
Crystal system: hexagonal


Entry 4:
Entry from the Alexandria database: an optimized crystal structure of V2GaCoH (PBE).

Unit cell a=3.765 b=3.765 c=3.750 alpha=90.00 beta=90.00 gamma=90.00
Atoms (fractional coordinates):
V 0.000 0.500 0.000
V 0.500 0.000 0.000
Ga 0.000 0.000 0.500
Co 0.500 0.500 0.500
H 0.500 0.500 0.000

Density in kg/m³: 7232
E_tot in eV per atom: -6.55
Magnetization in μB per formula unit: 0.8
SG: P4/mmm, No. 123
Fermi-level density of states in states/eV/cell: 3.90
Crystal system: tetragonal


Q: The highest density belongs to which entry?
A: ThGaCo2H